## NdPu3Pa2N6 (PBE)

Data for a relaxed structure of NdPu3Pa2N6.

For the magnetization, the calculation gives 31.61 μB/cell. The final energy is -133.79 eV per formula unit.

It has space group C2/m (No. 12), with a = 6.121 Å, b = 10.592 Å, c = 6.088 Å, α = 90.00°, β = 109.60° and γ = 90.00°. The inequivalent atoms are Nd at (0.000, 0.000, 0.000), Pu at (0.000, 0.164, 0.500), Pu at (0.000, 0.500, 0.500), Pa at (0.000, 0.333, 0.000), N at (0.227, 0.500, 0.241) and N at (0.242, 0.324, 0.756).